Entry 1:
Below is a relaxed Cs2ZnHgAs2 crystal, with properties calculated at the PBE level.

Computed properties:
formation energy = -0.32 eV per atom

Unit cell a=10.047 b=10.047 c=10.047 alpha=141.80 beta=54.96 gamma=142.03
Positions (direct):
1 Cs 0.168 0.237 0.405
2 Cs 0.332 0.737 0.069
3 Cs 0.668 0.263 0.931
4 Cs 0.832 0.763 0.595
5 Zn 0.250 0.750 0.500
6 Zn 0.750 0.250 0.500
7 Hg 0.250 0.250 0.000
8 Hg 0.750 0.750 0.000
9 As 0.085 0.723 0.808
10 As 0.415 0.223 0.638
11 As 0.585 0.777 0.362
12 As 0.915 0.277 0.192

***

Entry 2:
Below is a relaxed CsHoAs crystal, with properties calculated at the PBE level.

Computed properties:
formation energy = -0.51 eV per atom

Unit cell a=4.430 b=4.430 c=8.064 alpha=90.00 beta=90.00 gamma=120.00
Positions (direct):
1 Cs 0.000 0.000 0.000
2 Ho 0.667 0.333 0.537
3 As 0.333 0.667 0.669

***

Entry 3:
Below is a relaxed CsHoAs2O6 crystal, with properties calculated at the PBE level.

Computed properties:
energy relative to the elements, uncorrected = -1.8371 eV per atom

Unit cell a=7.195 b=7.195 c=6.784 alpha=102.74 beta=102.74 gamma=90.39
Positions (direct):
1 Cs 0.202 0.798 0.750
2 Cs 0.798 0.202 0.250
3 Ho 0.400 0.600 0.250
4 Ho 0.600 0.400 0.750
5 As 0.121 0.278 0.804
6 As 0.278 0.121 0.304
7 As 0.722 0.879 0.696
8 As 0.879 0.722 0.196
9 O 0.089 0.598 0.246
10 O 0.152 0.169 0.047
11 O 0.169 0.152 0.547
12 O 0.323 0.448 0.897
13 O 0.402 0.911 0.254
14 O 0.448 0.323 0.397
15 O 0.552 0.677 0.603
16 O 0.598 0.089 0.746
17 O 0.677 0.552 0.103
18 O 0.831 0.848 0.453
19 O 0.848 0.831 0.953
20 O 0.911 0.402 0.754

***

Entry 4:
Below is a relaxed Cs2HoAs2O6 crystal, with properties calculated at the PBE level.

Computed properties:
energy relative to the elements, uncorrected = -1.9146 eV per atom

Unit cell a=6.087 b=6.087 c=7.554 alpha=112.05 beta=112.05 gamma=60.10
Positions (direct):
1 Cs 0.222 0.222 0.182
2 Cs 0.778 0.778 0.818
3 Ho 0.000 0.000 0.500
4 As 0.424 0.424 0.773
5 As 0.576 0.576 0.227
6 O 0.238 0.238 0.636
7 O 0.260 0.725 0.705
8 O 0.275 0.740 0.295
9 O 0.725 0.260 0.705
10 O 0.740 0.275 0.295
11 O 0.762 0.762 0.364

***

Entry 5:
Below is a relaxed CsHo2As2S6 crystal, with properties calculated at the PBE level.

Computed properties:
energy relative to the elements, uncorrected = -1.0233 eV per atom

Unit cell a=7.393 b=7.674 c=8.055 alpha=90.09 beta=116.40 gamma=118.11
Positions (direct):
1 Cs 0.000 0.000 0.000
2 Ho 0.368 0.686 0.028
3 Ho 0.632 0.314 0.972
4 As 0.006 0.660 0.442
5 As 0.994 0.340 0.558
6 S 0.090 0.623 0.199
7 S 0.289 0.920 0.786
8 S 0.409 0.507 0.760
9 S 0.591 0.493 0.240
10 S 0.711 0.080 0.214
11 S 0.910 0.377 0.801

***

Entry 6:
Below is a relaxed CsAsI3 crystal, with properties calculated at the PBE level.

Computed properties:
energy above the most stable polymorph in this dataset = 98 kJ/mol of formula units
energy relative to the elements, uncorrected = -0.5094 eV per atom

Unit cell a=11.217 b=11.217 c=11.217 alpha=60.00 beta=60.00 gamma=60.00
Positions (direct):
1 Cs 0.000 0.000 0.000
2 Cs 0.000 0.000 0.500
3 Cs 0.000 0.500 0.000
4 Cs 0.500 0.000 0.000
5 As 0.000 0.500 0.500
6 As 0.500 0.000 0.500
7 As 0.500 0.500 0.000
8 As 0.500 0.500 0.500
9 I 0.188 0.188 0.562
10 I 0.188 0.562 0.188
11 I 0.188 0.562 0.562
12 I 0.438 0.438 0.812
13 I 0.438 0.812 0.438
14 I 0.438 0.812 0.812
15 I 0.562 0.188 0.188
16 I 0.562 0.188 0.562
17 I 0.562 0.562 0.188
18 I 0.812 0.438 0.438
19 I 0.812 0.438 0.812
20 I 0.812 0.812 0.438

***

Total moment across the listed records, respectively: 0.000; 0.000; 0.000; 0.075; 0.000; 0.000 μB/atom.
DOS at the Fermi energy across the listed records, respectively: 1.14; 1.82; 2.66; 2.58; 3.28; 8.39 states/eV/cell.